# 1
## Y2AuI2 (PBE-GGA)

Data for a relaxed Y2AuI2 crystal.

a = 8.7130 Å, b = 8.7130 Å, c = 3.6787 Å
α = 90.00°, β = 90.00°, γ = 90.00°
Last column: nearest neighbours and their distance in Å.
Element x y z (fractional)
Y1 0.1595 0.3405 0.0000  6 I 3.10-3.18
Y2 0.3405 0.8405 0.0000  6 I 3.10-3.18
Y3 0.6595 0.1595 0.0000  6 I 3.10-3.18
Y4 0.8405 0.6595 0.0000  6 I 3.10-3.18
Au1 0.0000 0.0000 0.5000  4 I 3.38, 2 Au 3.68, 8 Y 3.76
Au2 0.5000 0.5000 0.5000  4 I 3.38, 2 Au 3.68, 8 Y 3.76
I1 0.1376 0.6376 0.5000  6 Y 3.10-3.18, 2 Au 3.38, 1 I 3.39
I2 0.3624 0.1376 0.5000  6 Y 3.10-3.18, 2 Au 3.38, 1 I 3.39
I3 0.6376 0.8624 0.5000  6 Y 3.10-3.18, 2 Au 3.38, 1 I 3.39
I4 0.8624 0.3624 0.5000  6 Y 3.10-3.18, 2 Au 3.38, 1 I 3.39

calculated total energy: -4.271 eV per atom
uncorrected formation energy: -0.410 eV/atom
magnetization: 0.00 μB/f.u.
ρ: 7.5 g/cm3
relative energy among the computed polymorphs: 684 meV/atom

# 2
## LaPm2Y8 (PBE-GGA)

Data for a relaxed LaPm2Y8 crystal.

a = 10.2647 Å, b = 10.2647 Å, c = 5.6005 Å
α = 92.78°, β = 92.78°, γ = 40.37°
Last column: nearest neighbours and their distance in Å.
Element x y z (fractional)
La1 0.0000 0.0000 0.0000  10 Y 3.57-3.87
Pm1 0.2846 0.2846 0.7515  11 Y 3.25-3.63
Pm2 0.7154 0.7154 0.2485  11 Y 3.25-3.63
Y1 0.1343 0.6009 0.2691  4 Y 3.31-3.57, 3 Pm 3.48-3.63, 1 La 3.57
Y2 0.1876 0.1876 0.2337  4 Pm 3.36-3.58, 4 Y 3.51-3.57
Y3 0.3991 0.8657 0.7309  4 Y 3.31-3.57, 3 Pm 3.48-3.63, 1 La 3.57
Y4 0.4532 0.4532 0.7625  1 Y 3.14, 1 Pm 3.25
Y5 0.5468 0.5468 0.2375  1 Y 3.14, 1 Pm 3.25
Y6 0.6009 0.1343 0.2691  4 Y 3.31-3.57, 3 Pm 3.48-3.63, 1 La 3.57
Y7 0.8124 0.8124 0.7663  4 Pm 3.36-3.58, 4 Y 3.51-3.57
Y8 0.8657 0.3991 0.7309  4 Y 3.31-3.57, 3 Pm 3.48-3.63, 1 La 3.57

ΔH_f (0 K): 1.52 eV/f.u.
calculated total energy: -5.875 eV per atom
magnetization: 0.00 μB/f.u.
ρ: 5.0 g/cm3
relative energy among the computed polymorphs: 27 meV/atom

# 3
## Nb4Te3Se2 (PBE-GGA)

Data for a relaxed Nb4Te3Se2 crystal.

a = 7.3840 Å, b = 7.3840 Å, c = 7.7257 Å
α = 98.49°, β = 98.49°, γ = 27.43°
Last column: nearest neighbours and their distance in Å.
Element x y z (fractional)
Nb1 0.0811 0.0811 0.1664  2 Se 2.76, 5 Te 2.87-2.99
Nb2 0.3221 0.3221 0.4493  3 Se 2.61-2.65, 2 Nb 2.91
Nb3 0.6779 0.6779 0.5507  3 Se 2.61-2.65, 2 Nb 2.91
Nb4 0.9189 0.9189 0.8336  2 Se 2.76, 5 Te 2.87-2.99
Te1 0.0000 0.0000 0.5000  6 Nb 2.99-3.07
Te2 0.4207 0.4207 0.1304  5 Nb 2.87-3.02
Te3 0.5793 0.5793 0.8696  5 Nb 2.87-3.02
Se1 0.2695 0.2695 0.7629  5 Nb 2.61-2.76
Se2 0.7305 0.7305 0.2371  5 Nb 2.61-2.76

calculated total energy: -6.660 eV per atom
uncorrected formation energy: -0.363 eV/atom
magnetization: 0.00 μB/f.u.
ρ: 7.9 g/cm3

# 4
## NaBeSb2Ir (PBE-GGA)

Data for a relaxed NaBeSb2Ir crystal.

a = 5.0627 Å, b = 5.0627 Å, c = 5.3899 Å
α = 90.00°, β = 90.00°, γ = 90.00°
Last column: nearest neighbours and their distance in Å.
Element x y z (fractional)
Na1 0.0000 0.0000 0.0000  2 Ir 2.69
Be1 0.5000 0.5000 0.0000  4 Na 3.58, 8 Sb 3.70
Sb1 0.0000 0.5000 0.5000  2 Ir 2.53
Sb2 0.5000 0.0000 0.5000  2 Ir 2.53
Ir1 0.0000 0.0000 0.5000  4 Sb 2.53, 2 Na 2.69

calculated total energy: -3.722 eV per atom
uncorrected formation energy: 0.708 eV/atom
magnetization: 0.00 μB/f.u.
ρ: 5.6 g/cm3

# 5
## PmHo4Tm6 (PBE-GGA)

Data for a relaxed PmHo4Tm6 crystal.

a = 8.3732 Å, b = 8.3732 Å, c = 8.3732 Å
α = 125.69°, β = 125.69°, γ = 80.39°
Last column: nearest neighbours and their distance in Å.
Element x y z (fractional)
Pm1 0.0000 0.0000 0.0000  8 Tm 3.60-3.82, 4 Ho 3.73
Ho1 0.2585 0.2585 0.6673  3 Tm 3.01-3.21, 2 Ho 3.19
Ho2 0.4089 0.7415 0.0000  3 Tm 3.01-3.21, 2 Ho 3.19
Ho3 0.5911 0.5911 0.3327  3 Tm 3.01-3.21, 2 Ho 3.19
Ho4 0.7415 0.4089 0.0000  3 Tm 3.01-3.21, 2 Ho 3.19
Tm1 0.0000 0.5000 0.5000  4 Ho 3.01
Tm2 0.0670 0.5635 0.0000  4 Ho 3.21-3.52, 2 Tm 3.59
Tm3 0.4365 0.4365 0.5034  4 Ho 3.21-3.52, 2 Tm 3.59
Tm4 0.5000 0.0000 0.5000  4 Ho 3.01
Tm5 0.5635 0.0670 0.0000  4 Ho 3.21-3.52, 2 Tm 3.59
Tm6 0.9330 0.9330 0.4966  4 Ho 3.21-3.52, 2 Tm 3.59

ΔH_f (0 K): 5.15 eV/f.u.
calculated total energy: -4.068 eV per atom
magnetization: 0.00 μB/f.u.
ρ: 8.1 g/cm3
relative energy among the computed polymorphs: 346 meV/atom

# 6
## Pr3In3Rh2 (PBE-GGA)

Data for a relaxed Pr3In3Rh2 crystal.

a = 8.3847 Å, b = 16.5239 Å, c = 5.8309 Å
α = 90.00°, β = 90.00°, γ = 90.00°
Last column: nearest neighbours and their distance in Å.
Element x y z (fractional)
Pr1 0.0323 0.1095 0.0998  2 Rh 2.97-3.30, 1 In 3.32
Pr2 0.0323 0.3905 0.0998  2 Rh 2.97-3.30, 1 In 3.32
Pr3 0.1599 0.2500 0.6296  4 Rh 3.18-3.26, 3 In 3.21-3.22
Pr4 0.3401 0.7500 0.1296  4 Rh 3.18-3.26, 3 In 3.21-3.22
Pr5 0.4677 0.6095 0.5998  2 Rh 2.97-3.30, 1 In 3.32
Pr6 0.4677 0.8905 0.5998  2 Rh 2.97-3.30, 1 In 3.32
Pr7 0.5323 0.1095 0.4002  2 Rh 2.97-3.30, 1 In 3.32
Pr8 0.5323 0.3905 0.4002  2 Rh 2.97-3.30, 1 In 3.32
Pr9 0.6599 0.2500 0.8704  4 Rh 3.18-3.26, 3 In 3.21-3.22
Pr10 0.8401 0.7500 0.3704  4 Rh 3.18-3.26, 3 In 3.21-3.22
Pr11 0.9677 0.6095 0.9002  2 Rh 2.97-3.30, 1 In 3.32
Pr12 0.9677 0.8905 0.9002  2 Rh 2.97-3.30, 1 In 3.32
In1 0.1754 0.0336 0.5934  3 Rh 2.75-2.84
In2 0.1754 0.4664 0.5934  3 Rh 2.75-2.84
In3 0.1786 0.7500 0.6295  2 Rh 2.77
In4 0.3214 0.2500 0.1295  2 Rh 2.77
In5 0.3246 0.5336 0.0934  3 Rh 2.75-2.84
In6 0.3246 0.9664 0.0934  3 Rh 2.75-2.84
In7 0.6754 0.0336 0.9066  3 Rh 2.75-2.84
In8 0.6754 0.4664 0.9066  3 Rh 2.75-2.84
In9 0.6786 0.7500 0.8705  2 Rh 2.77
In10 0.8214 0.2500 0.3705  2 Rh 2.77
In11 0.8246 0.5336 0.4066  3 Rh 2.75-2.84
In12 0.8246 0.9664 0.4066  3 Rh 2.75-2.84
Rh1 0.1101 0.6149 0.3660  4 In 2.75-2.84, 1 Pr 2.97
Rh2 0.1101 0.8851 0.3660  4 In 2.75-2.84, 1 Pr 2.97
Rh3 0.3899 0.1149 0.8660  4 In 2.75-2.84, 1 Pr 2.97
Rh4 0.3899 0.3851 0.8660  4 In 2.75-2.84, 1 Pr 2.97
Rh5 0.6101 0.6149 0.1340  4 In 2.75-2.84, 1 Pr 2.97
Rh6 0.6101 0.8851 0.1340  4 In 2.75-2.84, 1 Pr 2.97
Rh7 0.8899 0.1149 0.6340  4 In 2.75-2.84, 1 Pr 2.97
Rh8 0.8899 0.3851 0.6340  4 In 2.75-2.84, 1 Pr 2.97

ΔH_f (0 K): -4.63 eV/f.u.
calculated total energy: -5.236 eV per atom
magnetization: 0.00 μB/f.u.
ρ: 8.0 g/cm3

# 7
## TlFeSe (PBE-GGA)

Data for a relaxed TlFeSe crystal.

a = 6.6311 Å, b = 6.6311 Å, c = 6.6311 Å
α = 151.93°, β = 151.93°, γ = 40.12°
Last column: nearest neighbours and their distance in Å.
Element x y z (fractional)
Tl1 0.0000 0.0000 0.0000  4 Tl 3.22, 1 Se 3.23, 4 Fe 3.25
Fe1 0.6866 0.6866 0.0000  4 Se 2.45
Se1 0.2596 0.2596 0.0000  4 Fe 2.45

calculated total energy: -4.644 eV per atom
uncorrected formation energy: 0.127 eV/atom
magnetization: 2.07 μB/f.u.
ρ: 8.7 g/cm3
relative energy among the computed polymorphs: 244 meV/atom

# 8
## ErCuPt (PBE-GGA)

Data for a relaxed ErCuPt crystal.

a = 4.9995 Å, b = 4.9995 Å, c = 4.9995 Å
α = 138.16°, β = 138.16°, γ = 60.65°
Last column: nearest neighbours and their distance in Å.
Element x y z (fractional)
Er1 0.0000 0.0000 0.0000  5 Cu 2.80-2.94, 5 Pt 2.88-2.92
Cu1 0.6756 0.6756 0.0000  5 Er 2.80-2.94, 5 Pt 2.89-2.91
Pt1 0.3385 0.3385 0.0000  5 Er 2.88-2.92, 5 Cu 2.89-2.91

ΔH_f (0 K): -2.16 eV/f.u.
calculated total energy: -5.620 eV per atom
magnetization: 0.00 μB/f.u.
ρ: 12.9 g/cm3
relative energy among the computed polymorphs: 142 meV/atom

# 9
## Tb4PmSc (PBE-GGA)

Data for a relaxed Tb4PmSc crystal.

a = 6.1814 Å, b = 6.1814 Å, c = 5.8870 Å
α = 90.05°, β = 90.05°, γ = 56.26°
Last column: nearest neighbours and their distance in Å.
Element x y z (fractional)
Tb1 0.1638 0.1638 0.4754  2 Sc 3.32-3.57, 3 Pm 3.42-3.67, 5 Tb 3.46-3.58
Tb2 0.3332 0.3332 0.9784  2 Pm 3.35-3.57, 3 Sc 3.44-3.64, 5 Tb 3.44-3.64
Tb3 0.6668 0.6668 0.0216  2 Pm 3.35-3.57, 3 Sc 3.44-3.64, 5 Tb 3.44-3.64
Tb4 0.8362 0.8362 0.5246  2 Sc 3.32-3.57, 3 Pm 3.42-3.67, 5 Tb 3.46-3.58
Pm1 0.5000 0.5000 0.5000  10 Tb 3.35-3.67
Sc1 0.0000 0.0000 0.0000  10 Tb 3.32-3.64

ΔH_f (0 K): 0.81 eV/f.u.
calculated total energy: -4.800 eV per atom
magnetization: 0.00 μB/f.u.
ρ: 7.3 g/cm3
relative energy among the computed polymorphs: 0 meV/atom

# 10
## Ti2PBr2 (PBE-GGA)

Data for a relaxed Ti2PBr2 crystal.

a = 10.0481 Å, b = 10.0481 Å, c = 10.0481 Å
α = 20.78°, β = 20.78°, γ = 20.78°
Last column: nearest neighbours and their distance in Å.
Element x y z (fractional)
Ti1 0.1253 0.1253 0.1253  3 P 2.42
Ti2 0.8747 0.8747 0.8747  3 P 2.42
P1 0.5000 0.5000 0.5000  6 Ti 2.42
Br1 0.2672 0.2672 0.2672  3 Ti 2.72
Br2 0.7328 0.7328 0.7328  3 Ti 2.72

calculated total energy: -6.096 eV per atom
uncorrected formation energy: -1.187 eV/atom
magnetization: 0.00 μB/f.u.
ρ: 4.3 g/cm3

# 11
## TePN2 (PBE-GGA)

Data for a relaxed TePN2 crystal.

a = 4.1031 Å, b = 4.1031 Å, c = 4.1031 Å
α = 60.00°, β = 60.00°, γ = 60.00°
Last column: nearest neighbours and their distance in Å.
Element x y z (fractional)
Te1 0.0000 0.0000 0.0000  8 N 2.51
P1 0.5000 0.5000 0.5000  8 N 2.51
N1 0.2500 0.2500 0.2500  4 P 2.51, 4 Te 2.51
N2 0.7500 0.7500 0.7500  4 P 2.51, 4 Te 2.51

calculated total energy: -4.464 eV per atom
uncorrected formation energy: 1.837 eV/atom
magnetization: 0.00 μB/f.u.
ρ: 6.3 g/cm3
relative energy among the computed polymorphs: 1434 meV/atom

# 12
## Na2HoGe3Pt4 (PBE-GGA)

Data for a relaxed Na2HoGe3Pt4 crystal.

a = 4.3103 Å, b = 4.3103 Å, c = 10.9223 Å
α = 90.00°, β = 90.00°, γ = 90.00°
Last column: nearest neighbours and their distance in Å.
Element x y z (fractional)
Na1 0.0000 0.5000 0.2290  4 Ge 3.26, 8 Pt 3.30-3.31
Na2 0.5000 0.0000 0.7710  4 Ge 3.26, 8 Pt 3.30-3.31
Ho1 0.0000 0.0000 0.5000  4 Pt 2.73, 4 Ge 3.05
Ge1 0.0000 0.5000 0.8773  5 Pt 2.44-2.54
Ge2 0.5000 0.0000 0.1227  5 Pt 2.44-2.54
Ge3 0.5000 0.5000 0.5000  4 Pt 2.73, 4 Ho 3.05
Pt1 0.0000 0.0000 0.0000  4 Ge 2.54
Pt2 0.0000 0.5000 0.6535  3 Ge 2.44-2.73, 2 Ho 2.73
Pt3 0.5000 0.0000 0.3465  3 Ge 2.44-2.73, 2 Ho 2.73
Pt4 0.5000 0.5000 0.0000  4 Ge 2.54

ΔH_f (0 K): -6.01 eV/f.u.
calculated total energy: -5.125 eV per atom
magnetization: 0.00 μB/f.u.
ρ: 9.9 g/cm3